a:
CuSi2Au | meta-GGA SCAN | single point on PBEsol structure

Values from the calculation:
Spin magnetization ... 0.0 μB per formula unit
DOS(E_F) ... 3.2 states/eV/cell
SG ... I-42d

a b c (Å): 5.5488 5.5488 5.5488
angles (deg): 124.91 102.35 102.35
Atoms (fractional coordinates):
Si 0.9878 0.6128 0.1250
Si 0.0122 0.1372 0.6250
Si 0.5122 0.3750 0.3872
Si 0.4878 0.8750 0.8628
Au 0.0000 0.0000 0.0000
Au 0.5000 0.7500 0.2500
Cu 0.0000 0.5000 0.5000
Cu 0.5000 0.2500 0.7500

***

b:
CuSi2Au | meta-GGA SCAN | single point on PBEsol structure

Values from the calculation:
Spin magnetization ... 0.0 μB per formula unit
DOS(E_F) ... 0.6 states/eV/cell
SG ... P2/m

a b c (Å): 3.8754 4.1053 4.3337
angles (deg): 90.00 103.77 90.00
Atoms (fractional coordinates):
Si 0.6906 0.0000 0.8280
Si 0.3094 0.0000 0.1720
Au 0.5000 0.5000 0.5000
Cu 0.0000 0.5000 0.0000

***

Stability, descending: b, a

***

a:
CuTc2Au | meta-GGA SCAN | single point on PBEsol structure

Values from the calculation:
Spin magnetization ... 0.0 μB per formula unit
DOS(E_F) ... 2.2 states/eV/cell
SG ... R3m

a b c (Å): 2.7284 2.7284 8.9817
angles (deg): 81.26 81.26 60.00
Atoms (fractional coordinates):
Au 0.5028 0.5028 0.4915
Cu 0.2523 0.2523 0.2430
Tc 0.0008 0.0008 0.9977
Tc 0.7441 0.7441 0.7678

***

b:
CuTc2Au | meta-GGA SCAN | single point on PBEsol structure

Values from the calculation:
Spin magnetization ... 0.0 μB per formula unit
DOS(E_F) ... 4.0 states/eV/cell
SG ... Fm-3m

a b c (Å): 4.3115 4.3115 4.3115
angles (deg): 60.00 60.00 60.00
Atoms (fractional coordinates):
Au 0.0000 0.0000 0.0000
Cu 0.5000 0.5000 0.5000
Tc 0.2500 0.2500 0.2500
Tc 0.7500 0.7500 0.7500

***

Stability, descending: a, b

***

a:
CuTcAu2 | meta-GGA SCAN | single point on PBEsol structure

Values from the calculation:
Spin magnetization ... 0.0 μB per formula unit
DOS(E_F) ... 3.3 states/eV/cell
SG ... P2/m

a b c (Å): 2.6471 4.8849 4.9264
angles (deg): 109.72 90.00 90.00
Atoms (fractional coordinates):
Au 0.0000 0.0000 0.0000
Au 0.5000 0.0000 0.5000
Cu 0.5000 0.5000 0.0000
Tc 0.0000 0.5000 0.5000

***

b:
CuTcAu2 | meta-GGA SCAN | single point on PBEsol structure

Values from the calculation:
Spin magnetization ... 0.0 μB per formula unit
DOS(E_F) ... 2.5 states/eV/cell
SG ... R-3m

a b c (Å): 2.7774 2.7774 9.0286
angles (deg): 81.15 81.15 60.00
Atoms (fractional coordinates):
Au 0.2473 0.2473 0.2581
Au 0.7527 0.7527 0.7419
Cu 0.5000 0.5000 0.5000
Tc 0.0000 0.0000 0.0000

***

Stability, descending: b, a